Entry 1:
ErU2Se6 | Alexandria via LeMat-Bulk | PBE | optimized geometry; uncorrected formation energy = -1.135 eV per atom; relative energy among the computed polymorphs = 153 meV per atom; density = 6.75 g cm⁻³; space group = C2/m (12); Fermi-level density of states = 1.0451 states/eV per atom; uncorrected energy = -0.23790 Ha/atom; calculated volume = 275 Å³/cell
1.0
6.998 -2.708 0.000
6.998 2.708 0.000
-5.565 0.000 7.247
Er U Se
1 2 6
Cartesian
0.000 0.000 0.000
-0.811 0.000 4.407
9.242 0.000 2.840
-3.459 0.000 5.290
1.531 0.000 2.691
-0.103 0.000 6.952
8.533 0.000 0.295
6.899 0.000 4.556
11.890 0.000 1.956

---

Entry 2:
Tb3Pm2Pr6Er | Alexandria via LeMat-Bulk | PBE | optimized geometry; density = 7.19 g cm⁻³; space group = C2/m (12); Fermi-level density of states = 1.2533 states/eV per atom; uncorrected energy = -0.17300 Ha/atom; calculated volume = 411 Å³/cell; ΔE_f = 0.012 eV per atom
1.0
3.168 -5.489 0.000
3.168 5.489 0.000
-2.109 0.000 11.816
Tb Pm Pr Er
3 2 6 1
Cartesian
0.000 0.000 0.000
3.168 1.828 0.000
3.168 -1.828 0.000
2.114 3.658 5.908
2.114 -3.658 5.908
1.060 1.824 2.940
0.008 0.000 8.881
1.060 -1.824 2.940
3.168 1.824 8.876
4.220 0.000 2.935
3.168 -1.824 8.876
2.114 0.000 5.908

---

Entry 3:
LaEuAl | Alexandria via LeMat-Bulk | PBE | optimized geometry; relative energy among the computed polymorphs = 115 meV per atom; density = 6.41 g cm⁻³; space group = P-6m2 (187); Fermi-level density of states = 0.8524 states/eV per atom; uncorrected energy = -0.23411 Ha/atom; calculated volume = 82 Å³/cell; ΔE_f = -0.056 eV per atom
1.0
5.388 0.000 0.000
-2.694 4.666 0.000
0.000 0.000 3.276
La Eu Al
1 1 1
Cartesian
0.000 0.000 0.000
0.000 3.110 0.000
2.694 1.555 1.638

---

Entry 4:
BaBi2I2O2 | Alexandria via LeMat-Bulk | PBE | optimized geometry; uncorrected formation energy = -0.806 eV per atom; relative energy among the computed polymorphs = 143 meV per atom; density = 6.70 g cm⁻³; space group = I-4m2 (119); Fermi-level density of states = 0.4821 states/eV per atom; uncorrected energy = -0.14880 Ha/atom; calculated volume = 417 Å³/cell
1.0
3.795 0.000 0.000
0.000 3.795 0.000
0.000 0.000 28.962
Ba Bi I O
2 4 4 4
Cartesian
0.000 0.000 0.000
1.898 1.898 14.481
0.000 0.000 3.346
0.000 0.000 25.616
1.898 1.898 11.135
1.898 1.898 17.827
0.000 0.000 9.094
0.000 0.000 19.868
1.898 1.898 5.387
1.898 1.898 23.575
0.000 1.898 16.267
0.000 1.898 27.177
1.898 0.000 1.786
1.898 0.000 12.696